No. 1
DFT (GGA-PBE) results for CaTb4Zn5 after structural relaxation.

Structure (extended XYZ):
```
10
Lattice="3.596 0.000 0.000 0.000 3.596 0.000 0.000 0.000 18.063" Properties=species:S:1:pos:R:3 pbc="T T T"
Ca 0.000 0.000 0.000
Tb 0.000 0.000 3.690
Tb 0.000 0.000 7.246
Tb 0.000 0.000 10.817
Tb 0.000 0.000 14.373
Zn 1.798 1.798 1.970
Zn 1.798 1.798 5.462
Zn 1.798 1.798 9.031
Zn 1.798 1.798 12.600
Zn 1.798 1.798 16.093
```

## Properties
E_tot ... -3.01 eV per atom

No. 2
DFT (GGA-PBE) results for CaTb2Zn6 after structural relaxation.

Structure (extended XYZ):
```
9
Lattice="7.817 0.000 0.000 -3.909 6.770 0.000 0.000 0.000 3.523" Properties=species:S:1:pos:R:3 pbc="T T T"
Ca 0.000 0.000 0.000
Tb 0.000 4.513 0.000
Tb 3.909 2.257 0.000
Zn -1.306 2.263 1.761
Zn -2.602 4.507 1.761
Zn 2.613 0.000 1.761
Zn 1.306 2.263 1.761
Zn 5.204 0.000 1.761
Zn 2.602 4.507 1.761
```

## Properties
E_tot ... -2.44 eV per atom

No. 3
DFT (GGA-PBE) results for CaTbZn10 after structural relaxation.

Structure (extended XYZ):
```
12
Lattice="4.246 0.000 0.000 0.000 5.343 0.000 0.000 0.000 9.243" Properties=species:S:1:pos:R:3 pbc="T T T"
Ca 0.000 0.000 0.000
Tb 0.000 2.671 4.621
Zn 0.000 0.000 3.067
Zn 0.000 0.000 6.176
Zn 0.000 2.671 1.530
Zn 0.000 2.671 7.713
Zn 2.123 0.000 4.621
Zn 2.123 1.362 2.378
Zn 2.123 1.362 6.865
Zn 2.123 2.671 0.000
Zn 2.123 3.980 2.378
Zn 2.123 3.980 6.865
```

## Properties
E_tot ... -1.87 eV per atom

No. 4
DFT (GGA-PBE) results for CaTbZn after structural relaxation.

Structure (extended XYZ):
```
6
Lattice="4.803 0.000 0.000 0.000 4.803 0.000 0.000 0.000 7.708" Properties=species:S:1:pos:R:3 pbc="T T T"
Ca 1.201 1.201 1.037
Ca 3.602 3.602 6.671
Tb 1.201 3.602 3.854
Tb 3.602 1.201 3.854
Zn 1.201 1.201 5.658
Zn 3.602 3.602 2.050
```

## Properties
E_tot ... -2.75 eV per atom
Energy relative to the lowest polymorph listed for this composition ... 0.15 eV per formula unit

No. 5
DFT (GGA-PBE) results for CaTb3Zn4 after structural relaxation.

Structure (extended XYZ):
```
8
Lattice="5.083 0.000 0.000 0.000 5.083 0.000 0.000 0.000 7.227" Properties=species:S:1:pos:R:3 pbc="T T T"
Ca 0.000 0.000 0.000
Tb 0.000 0.000 3.614
Tb 2.542 2.542 0.000
Tb 2.542 2.542 3.614
Zn 0.000 2.542 1.848
Zn 0.000 2.542 5.380
Zn 2.542 0.000 1.848
Zn 2.542 0.000 5.380
```

## Properties
E_tot ... -2.94 eV per atom

No. 6
DFT (GGA-PBE) results for CaTbZn after structural relaxation.

Structure (extended XYZ):
```
3
Lattice="-1.806 1.806 6.502 1.806 -1.806 6.502 1.806 1.806 -6.502" Properties=species:S:1:pos:R:3 pbc="T T T"
Ca 0.000 0.000 0.000
Tb 0.000 0.000 3.591
Zn 0.000 0.000 8.452
```

## Properties
E_tot ... -2.80 eV per atom
Energy relative to the lowest polymorph listed for this composition ... 0.00 eV per formula unit

No. 7
DFT (GGA-PBE) results for CaTbZn17 after structural relaxation.

Structure (extended XYZ):
```
19
Lattice="4.510 2.604 4.398 -4.510 2.604 4.398 0.000 -5.208 4.398" Properties=species:S:1:pos:R:3 pbc="T T T"
Ca 0.000 0.000 0.000
Tb 0.000 0.000 8.862
Zn -1.339 -2.320 4.440
Zn -2.679 0.000 4.440
Zn -2.306 -1.332 6.825
Zn 0.000 0.000 3.130
Zn 1.339 -2.320 4.440
Zn -1.340 2.320 4.440
Zn 0.000 -2.602 6.645
Zn -2.253 1.301 6.645
Zn 0.000 0.000 5.765
Zn -2.180 -1.259 10.854
Zn 2.679 0.000 4.440
Zn 1.340 2.320 4.440
Zn 2.306 -1.332 6.825
Zn 0.000 2.663 6.825
Zn 2.253 1.301 6.645
Zn 2.180 -1.259 10.854
Zn 0.000 2.517 10.854
```

## Properties
E_tot ... -1.70 eV per atom

No. 8
DFT (GGA-PBE) results for Ca3TbZn8 after structural relaxation.

Structure (extended XYZ):
```
12
Lattice="2.769 1.599 9.042 -2.769 1.599 9.042 0.000 -3.198 9.042" Properties=species:S:1:pos:R:3 pbc="T T T"
Ca 0.000 0.000 0.000
Ca 0.000 0.000 3.403
Ca 0.000 0.000 16.973
Tb 0.000 0.000 13.589
Zn 0.000 -1.600 6.202
Zn -1.386 0.800 6.202
Zn -1.378 -0.796 10.775
Zn 0.000 0.000 8.495
Zn 1.386 0.800 6.202
Zn 1.378 -0.796 10.775
Zn 0.000 1.591 10.775
Zn 0.000 0.000 22.064
```

## Properties
E_tot ... -2.01 eV per atom

No. 9
DFT (GGA-PBE) results for CaTbZn4 after structural relaxation.

Structure (extended XYZ):
```
6
Lattice="-2.081 2.081 7.630 2.081 -2.081 7.630 2.081 2.081 -7.630" Properties=species:S:1:pos:R:3 pbc="T T T"
Ca 0.000 0.000 0.000
Tb 2.081 0.000 3.815
Zn 0.000 0.000 6.363
Zn 0.000 0.000 8.898
Zn 0.000 2.081 2.583
Zn 0.000 2.081 5.048
```

## Properties
E_tot ... -2.23 eV per atom
Energy relative to the lowest polymorph listed for this composition ... 0.05 eV per formula unit

No. 10
DFT (GGA-PBE) results for CaTb5Zn6 after structural relaxation.

Structure (extended XYZ):
```
12
Lattice="2.547 -7.624 0.000 2.547 7.624 0.000 0.000 0.000 7.180" Properties=species:S:1:pos:R:3 pbc="T T T"
Ca 0.000 0.000 0.000
Tb 0.000 0.000 3.590
Tb 2.547 2.533 3.590
Tb 2.547 2.518 0.000
Tb 2.547 -2.518 0.000
Tb 2.547 -2.533 3.590
Zn 2.547 5.031 1.817
Zn 2.547 5.031 5.364
Zn 2.547 0.000 1.855
Zn 2.547 0.000 5.325
Zn 2.547 -5.031 1.817
Zn 2.547 -5.031 5.364
```

## Properties
E_tot ... -3.05 eV per atom

No. 11
DFT (GGA-PBE) results for Ca2TbZn4 after structural relaxation.

Structure (extended XYZ):
```
7
Lattice="-1.895 2.221 9.858 1.895 -2.221 9.858 1.895 2.221 -9.858" Properties=species:S:1:pos:R:3 pbc="T T T"
Ca 0.000 0.000 3.726
Ca 0.000 0.000 15.990
Tb 0.000 2.221 0.000
Zn 1.895 0.000 1.252
Zn 0.000 0.000 7.248
Zn 0.000 0.000 12.468
Zn 0.000 2.221 8.606
```

## Properties
E_tot ... -2.24 eV per atom

No. 12
DFT (GGA-PBE) results for CaTb5Zn4 after structural relaxation.

Structure (extended XYZ):
```
10
Lattice="3.618 0.000 0.000 0.000 3.618 0.000 0.000 0.000 19.643" Properties=species:S:1:pos:R:3 pbc="T T T"
Ca 0.000 0.000 0.000
Tb 1.809 1.809 2.825
Tb 1.809 1.809 6.291
Tb 1.809 1.809 9.821
Tb 1.809 1.809 13.352
Tb 1.809 1.809 16.817
Zn 0.000 0.000 4.505
Zn 0.000 0.000 8.044
Zn 0.000 0.000 11.599
Zn 0.000 0.000 15.137
```

## Properties
E_tot ... -3.27 eV per atom

| no. | Fermi-level density of states (states/eV per cell) |
| --- | --- |
| 1 | 10.3 |
| 2 | 5.4 |
| 3 | 4.3 |
| 4 | 6.8 |
| 5 | 6.8 |
| 6 | 3.5 |
| 7 | 5.4 |
| 8 | 7.3 |
| 9 | 3.9 |
| 10 | 12.1 |
| 11 | 5.6 |
| 12 | 14.3 |